1.
A relaxed structure of LiTaNbN3, computed with PBE.

size of the total moment: 0.000 μB/cell
SG: No. 11
DFT total energy: -9.123 eV/atom
formation energy (no corrections): -988.1 meV per atom

a = 3.083 Å, b = 7.668 Å, c = 5.508 Å
α = 89.12°, β = 90.00°, γ = 90.00°
Fractional coordinates of all 12 atoms:
Nb (0.750, 0.652, 0.573)
N (0.250, 0.190, 0.086)
N (0.750, 0.810, 0.914)
Li (0.750, 0.010, 0.274)
Ta (0.250, 0.688, 0.091)
N (0.250, 0.817, 0.403)
Nb (0.250, 0.348, 0.427)
N (0.750, 0.183, 0.597)
N (0.750, 0.505, 0.225)
Ta (0.750, 0.312, 0.909)
N (0.250, 0.495, 0.775)
Li (0.250, 0.990, 0.726)


2.
A relaxed structure of LaMg2Fe, computed with PBE.

size of the total moment: 2.170 μB/cell
SG: No. 12
DFT total energy: -3.794 eV/atom
energy of formation: 0.3511 eV per atom

a = 6.463 Å, b = 6.463 Å, c = 3.172 Å
α = 77.29°, β = 77.29°, γ = 126.45°
Site moments in Bohr magnetons follow the coordinates.
Fractional coordinates of all 4 atoms:
Fe (0.500, 0.000, 0.500)  2.61
La (0.000, 0.500, 0.500)  -0.25
Mg (0.000, 0.000, 0.000)  0.00
Mg (0.500, 0.500, 0.000)  0.00


3.
A relaxed structure of Rb3Hg4Pt, computed with PBE.

size of the total moment: 0.000 μB/cell
SG: No. 44
DFT total energy: -1.454 eV/atom
energy of formation: -0.1856 eV per atom

a = 7.508 Å, b = 7.508 Å, c = 7.508 Å
α = 109.66°, β = 91.75°, γ = 129.27°
Fractional coordinates of all 8 atoms:
Hg (0.234, 0.679, 0.914)
Hg (0.034, 0.744, 0.291)
Hg (0.547, 0.256, 0.291)
Pt (0.013, 0.500, 0.513)
Rb (0.566, 0.215, 0.781)
Hg (0.234, 0.321, 0.555)
Rb (0.566, 0.785, 0.351)
Rb (0.956, 0.000, 0.956)


4.
A relaxed structure of Zn2NiCl, computed with PBE.

size of the total moment: 0.000 μB/cell
SG: No. 119
DFT total energy: -2.332 eV/atom
formation energy (no corrections): 212.4 meV per atom

a = 5.825 Å, b = 5.825 Å, c = 5.825 Å
α = 144.52°, β = 144.52°, γ = 51.05°
Fractional coordinates of all 4 atoms:
Ni (0.750, 0.250, 0.500)
Zn (0.000, 0.000, 0.000)
Zn (0.250, 0.750, 0.500)
Cl (0.500, 0.500, 0.000)


5.
A relaxed structure of ThU2Se5, computed with PBE.

size of the total moment: 23.997 μB/cell
SG: No. 62
DFT total energy: -7.251 eV/atom
formation energy (no corrections): -1324.1 meV per atom

a = 7.843 Å, b = 8.335 Å, c = 12.489 Å
α = 90.00°, β = 90.00°, γ = 90.00°
Site moments in Bohr magnetons follow the coordinates.
Fractional coordinates of all 32 atoms:
Se (0.835, 0.049, 0.896)  -0.03
Se (0.206, 0.250, 0.780)  -0.05
U (0.517, 0.000, 0.180)  2.73
Se (0.968, 0.750, 0.500)  -0.05
U (0.017, 0.000, 0.320)  2.73
Se (0.165, 0.549, 0.104)  -0.03
U (0.483, 0.500, 0.820)  2.73
Se (0.665, 0.049, 0.396)  -0.03
Se (0.835, 0.451, 0.896)  -0.03
Th (0.585, 0.750, 0.493)  0.09
U (0.517, 0.500, 0.180)  2.73
Se (0.032, 0.250, 0.500)  -0.05
Se (0.706, 0.750, 0.720)  -0.05
Th (0.915, 0.750, 0.993)  0.09
Se (0.532, 0.750, 0.000)  -0.05
Th (0.415, 0.250, 0.507)  0.09
Se (0.794, 0.750, 0.220)  -0.05
U (0.983, 0.500, 0.680)  2.73
U (0.017, 0.500, 0.320)  2.73
U (0.983, 0.000, 0.680)  2.73
Se (0.825, 0.250, 0.184)  -0.06
Se (0.325, 0.750, 0.316)  -0.06
Se (0.165, 0.951, 0.104)  -0.03
U (0.483, 0.000, 0.820)  2.73
Se (0.335, 0.951, 0.604)  -0.03
Se (0.675, 0.250, 0.684)  -0.06
Se (0.175, 0.750, 0.816)  -0.06
Se (0.335, 0.549, 0.604)  -0.03
Se (0.294, 0.250, 0.280)  -0.05
Se (0.665, 0.451, 0.396)  -0.03
Th (0.085, 0.250, 0.007)  0.09
Se (0.468, 0.250, 0.000)  -0.05


6.
A relaxed structure of GdHoLuSn, computed with PBE.

size of the total moment: 7.980 μB/cell
SG: No. 216
DFT total energy: -7.046 eV/atom
energy of formation: -0.2508 eV per atom

a = 5.381 Å, b = 5.381 Å, c = 5.381 Å
α = 60.00°, β = 60.00°, γ = 60.00°
Site moments in Bohr magnetons follow the coordinates.
Fractional coordinates of all 4 atoms:
Gd (0.500, 0.500, 0.500)  -7.23
Ho (0.000, 0.000, 0.000)  -0.19
Sn (0.250, 0.250, 0.250)  0.03
Lu (0.750, 0.750, 0.750)  -0.19


- DFT total energy of number 4 (Zn2NiCl)?
  -2.332 eV/atom


- size of the total moment of number 5 (ThU2Se5)?
  23.997 μB/cell